VASP calculation (GGA-PBE) on crystalline IrRuPb2 at its relaxed geometry.

Summary:
D(E_F): 14.6 states/eV/cell
ΔE_f: 0.543 eV per atom
calculated density: 15.31 g/cm³

abc: 6.746 6.746 6.746
angles: 90.00 90.00 90.00
Space group Fm-3m (No. 225)
Unique sites:
Ir: 0.000 0.000 0.000 [4 per cell]
Ru: 0.000 0.000 0.500 [4 per cell]
Pb: 0.250 0.250 0.250 [8 per cell]

---

VASP calculation (GGA-PBE) on crystalline Cs2PdF6 at its relaxed geometry.

Summary:
D(E_F): 0.0 states/eV/cell
formation energy from raw total energies: -2.136 eV/atom
calculated density: 4.16 g/cm³

abc: 9.194 9.194 9.194
angles: 90.00 90.00 90.00
Space group Fm-3m (No. 225)
Unique sites:
Cs: 0.250 0.250 0.250 [8 per cell]
Pd: 0.000 0.000 0.000 [4 per cell]
F: 0.000 0.000 0.213 [24 per cell]

---

VASP calculation (GGA-PBE) on crystalline La2ZrC at its relaxed geometry.

Summary:
D(E_F): 13.6 states/eV/cell
ΔE_f: 0.142 eV per atom
calculated density: 5.88 g/cm³

abc: 9.761 9.761 4.517
angles: 90.00 90.00 90.00
Space group I-42d (No. 122)
Unique sites:
La: 0.100 0.250 0.125 [8 per cell]
Zr: 0.000 0.000 0.500 [4 per cell]
C: 0.000 0.000 0.000 [4 per cell]

---

VASP calculation (GGA-PBE) on crystalline HoSnIrPt at its relaxed geometry.

Summary:
D(E_F): 12.4 states/eV/cell
ΔE_f: -0.671 eV per atom
calculated density: 14.62 g/cm³

abc: 6.731 6.731 6.731
angles: 90.00 90.00 90.00
Space group F-43m (No. 216)
Unique sites:
Ho: 0.000 0.000 0.000 [4 per cell]
Sn: 0.000 0.000 0.500 [4 per cell]
Ir: 0.250 0.250 0.250 [4 per cell]
Pt: 0.250 0.250 0.750 [4 per cell]

---

VASP calculation (GGA-PBE) on crystalline Zr2ReTc at its relaxed geometry.

Summary:
D(E_F): 14.1 states/eV/cell
ΔE_f: 0.205 eV per atom
calculated density: 10.56 g/cm³

abc: 2.9139 2.9139 29.9283
angles: 90.00 90.00 120.00
Space group R3m (No. 160, hexagonal axes)
Unique sites:
Zr: 0.0000 0.0000 0.0000 [3 per cell]
Zr: 0.0000 0.0000 0.2380 [3 per cell]
Re: 0.0000 0.0000 0.4861 [3 per cell]
Tc: 0.0000 0.0000 0.7515 [3 per cell]

---

VASP calculation (GGA-PBE) on crystalline LiCuC2 at its relaxed geometry.

Summary:
D(E_F): 2.7 states/eV/cell
ΔE_f: 1.577 eV per atom
calculated density: 4.63 g/cm³

abc: 5.137 5.137 5.137
angles: 90.00 90.00 90.00
Space group Fm-3m (No. 225)
Unique sites:
Li: 0.000 0.000 0.000 [4 per cell]
Cu: 0.000 0.000 0.500 [4 per cell]
C: 0.250 0.250 0.250 [8 per cell]